(1)
{
  "formula": "Dy3Ho4Pu",
  "functional": "PBE",
  "state": "optimized geometry",
  "lattice": [[11.228, 0.000, 0.000], [0.000, 7.142, 0.000], [0.000, 0.000, 6.164]],
  "species": ["Dy", "Dy", "Dy", "Dy", "Dy", "Dy", "Ho", "Ho", "Ho", "Ho", "Ho", "Ho", "Ho", "Ho", "Pu", "Pu"],
  "frac_coords": [[0.000, 0.121, 0.000], [0.250, 0.124, 0.330], [0.250, 0.876, 0.830], [0.500, 0.879, 0.500], [0.750, 0.124, 0.330], [0.750, 0.876, 0.830], [0.000, 0.375, 0.498], [0.000, 0.627, 0.997], [0.248, 0.627, 0.337], [0.252, 0.373, 0.837], [0.500, 0.373, 0.497], [0.500, 0.625, 0.998], [0.748, 0.373, 0.837], [0.752, 0.627, 0.337], [0.000, 0.875, 0.497], [0.500, 0.125, 0.997]],
  "de_polymorph_mev_per_atom": 0,
  "energy_ev_per_cell": -92.14,
  "space_group": "No. 31",
  "formation_enthalpy_0k_mev_per_atom": 47,
  "magmom_total_mub_per_cell": 13.626
}

=====

(2)
{
  "formula": "Dy3Ho2PuS6",
  "functional": "PBE",
  "state": "optimized geometry",
  "lattice": [[8.513, -1.945, 0.000], [8.513, 1.945, 0.000], [-1.803, 0.000, 7.627]],
  "species": ["Dy", "Dy", "Dy", "Ho", "Ho", "Pu", "S", "S", "S", "S", "S", "S"],
  "frac_coords": [[0.000, 0.000, 0.000], [0.335, 0.335, 0.664], [0.665, 0.665, 0.336], [0.336, 0.336, 0.171], [0.664, 0.664, 0.829], [0.000, 0.000, 0.500], [0.168, 0.168, 0.082], [0.169, 0.169, 0.586], [0.500, 0.500, 0.247], [0.500, 0.500, 0.753], [0.831, 0.831, 0.414], [0.832, 0.832, 0.918]],
  "energy_ev_per_cell": -85.74,
  "space_group": "No. 12",
  "raw_formation_energy_kj_per_mol_atoms": -190.43,
  "magmom_total_mub_per_cell": 5.898
}

=====

(3)
{
  "formula": "DyHo3Pu2S6",
  "functional": "PBE",
  "state": "optimized geometry",
  "lattice": [[3.378, -5.855, 0.000], [3.378, 5.855, 0.000], [-2.250, 0.000, 6.416]],
  "species": ["Dy", "Ho", "Ho", "Ho", "Pu", "Pu", "S", "S", "S", "S", "S", "S"],
  "frac_coords": [[0.000, 0.000, 0.000], [0.167, 0.833, 0.500], [0.500, 0.500, 0.500], [0.833, 0.167, 0.500], [0.333, 0.667, 0.000], [0.667, 0.333, 0.000], [0.085, 0.417, 0.254], [0.247, 0.247, 0.745], [0.417, 0.085, 0.254], [0.583, 0.915, 0.746], [0.753, 0.753, 0.255], [0.915, 0.583, 0.746]],
  "energy_ev_per_cell": -95.00,
  "space_group": "No. 12",
  "raw_formation_energy_kj_per_mol_atoms": -186.84,
  "magmom_total_mub_per_cell": 11.498
}

=====

(4)
{
  "formula": "Dy3HoPu3S8",
  "functional": "PBE",
  "state": "optimized geometry",
  "lattice": [[3.925, 2.266, 6.422], [-3.925, 2.266, 6.422], [0.000, -4.532, 6.422]],
  "species": ["Dy", "Dy", "Dy", "Ho", "Pu", "Pu", "Pu", "S", "S", "S", "S", "S", "S", "S", "S"],
  "frac_coords": [[0.000, 0.500, 0.500], [0.500, 0.000, 0.500], [0.500, 0.500, 0.000], [0.000, 0.000, 0.000], [0.000, 0.000, 0.500], [0.000, 0.500, 0.000], [0.500, 0.000, 0.000], [0.248, 0.248, 0.749], [0.248, 0.749, 0.248], [0.251, 0.251, 0.251], [0.251, 0.752, 0.752], [0.749, 0.248, 0.248], [0.749, 0.749, 0.749], [0.752, 0.251, 0.752], [0.752, 0.752, 0.251]],
  "energy_ev_per_cell": -123.56,
  "space_group": "No. 166",
  "raw_formation_energy_kj_per_mol_atoms": -187.55,
  "magmom_total_mub_per_cell": 16.976
}

=====

(5)
{
  "formula": "Dy4Ho3PuS8",
  "functional": "PBE",
  "state": "optimized geometry",
  "lattice": [[3.902, 2.253, 6.374], [-3.902, 2.253, 6.374], [0.000, -4.505, 6.374]],
  "species": ["Dy", "Dy", "Dy", "Dy", "Ho", "Ho", "Ho", "Pu", "S", "S", "S", "S", "S", "S", "S", "S"],
  "frac_coords": [[0.000, 0.000, 0.000], [0.000, 0.500, 0.500], [0.500, 0.000, 0.500], [0.500, 0.500, 0.000], [0.000, 0.000, 0.500], [0.000, 0.500, 0.000], [0.500, 0.000, 0.000], [0.500, 0.500, 0.500], [0.248, 0.751, 0.751], [0.249, 0.249, 0.249], [0.249, 0.249, 0.752], [0.249, 0.752, 0.249], [0.751, 0.248, 0.751], [0.751, 0.751, 0.248], [0.751, 0.751, 0.751], [0.752, 0.249, 0.249]],
  "energy_ev_per_cell": -111.04,
  "space_group": "No. 166",
  "raw_formation_energy_kj_per_mol_atoms": -190.24,
  "magmom_total_mub_per_cell": 5.764
}

=====

(6)
{
  "formula": "Dy4HoPuS8",
  "functional": "PBE",
  "state": "optimized geometry",
  "lattice": [[4.047, 2.337, 6.597], [-4.047, 2.337, 6.597], [0.000, -4.673, 6.597]],
  "species": ["Dy", "Dy", "Dy", "Dy", "Ho", "Pu", "S", "S", "S", "S", "S", "S", "S", "S"],
  "frac_coords": [[0.000, 0.000, 0.000], [0.377, 0.377, 0.871], [0.377, 0.871, 0.377], [0.871, 0.377, 0.377], [0.377, 0.377, 0.377], [0.750, 0.750, 0.750], [0.133, 0.133, 0.133], [0.134, 0.134, 0.601], [0.134, 0.601, 0.134], [0.159, 0.613, 0.613], [0.601, 0.134, 0.134], [0.613, 0.159, 0.613], [0.613, 0.613, 0.159], [0.614, 0.614, 0.614]],
  "energy_ev_per_cell": -96.81,
  "space_group": "No. 160",
  "raw_formation_energy_kj_per_mol_atoms": -182.43,
  "magmom_total_mub_per_cell": 6.292
}